Density functional theory data (PBE) for crystalline LiLuTaIr at its relaxed geometry.

The structure in extended XYZ format:
```
4
Lattice="-0.039 -3.938 -2.432 3.548 -2.955 0.324 -0.554 -4.053 2.167" Properties=species:S:1:pos:R:3 pbc="T T T"
Ir 1.477 -5.473 0.030
Ta 0.739 -2.737 0.015
Li 0.000 0.000 0.000
Lu 2.216 -8.210 0.044
```

Results
The crystal system is cubic. As for the symmetry: F-43m. The calculation puts the energy of formation at -1.22 eV per formula unit. For the final energy, the calculation gives -28.37 eV per cell.